DFT (GGA+U) results for a relaxed structure of PmMnTc2O8.

abc: 5.205 5.205 6.767
angles: 112.62 112.62 90.00
Sites, in units of the cell vectors:
Mn: 0.000 0.000 0.000
O: 0.670 0.251 0.837
O: 0.589 0.676 0.671
Pm: 0.750 0.250 0.500
O: 0.749 0.833 0.163
O: 0.082 0.995 0.671
O: 0.324 0.918 0.329
O: 0.005 0.411 0.329
O: 0.413 0.330 0.163
Tc: 0.500 0.500 0.000
Tc: 0.250 0.750 0.500
O: 0.167 0.587 0.837

SG ... I-4, No. 82
Magnetic moment ... 0.6697 μB per atom
Raw total energy ... -7.86 eV/atom
DOS at the Fermi energy ... 5.23 states/eV/f.u.